1.
Material: BaRuPt2
Method: DFT, GGA-PBE
State: relaxed

Output
Space-group type = P4/mmm, No. 123
Offset from the most stable computed form = 0.682 eV per atom

Cell: 4.3305 4.3305 4.3122 Å, 90.00 90.00 90.00°
Element x y z (fractional)
Ba: 0.0000 0.0000 0.0000
Ru: 0.5000 0.5000 0.0000
Pt: 0.0000 0.5000 0.5000
Pt: 0.5000 0.0000 0.5000

---

2.
Material: BaRuPt2
Method: DFT, GGA-PBE
State: relaxed

Output
Space-group type = Fm-3m, No. 225
Offset from the most stable computed form = 0.727 eV per atom

Cell: 4.9111 4.9111 4.9111 Å, 60.00 60.00 60.00°
Element x y z (fractional)
Ba: 0.0000 0.0000 0.0000
Ru: 0.5000 0.5000 0.5000
Pt: 0.2500 0.2500 0.2500
Pt: 0.7500 0.7500 0.7500

---

3.
Material: BaRu3Pt
Method: DFT, GGA-PBE
State: relaxed

Output
Space-group type = Pm-3m, No. 221
Offset from the most stable computed form = 1.591 eV per atom

Cell: 4.9170 4.9170 4.9170 Å, 90.00 90.00 90.00°
Element x y z (fractional)
Ba: 0.0000 0.0000 0.0000
Ru: 0.0000 0.0000 0.5000
Ru: 0.0000 0.5000 0.0000
Ru: 0.5000 0.0000 0.0000
Pt: 0.5000 0.5000 0.5000

---

4.
Material: Ba2RuPt
Method: DFT, GGA-PBE
State: relaxed

Output
Space-group type = P4mm, No. 99
Final energy = -4.63 eV per atom

Cell: 3.7054 3.7054 9.2813 Å, 90.00 90.00 90.00°
Element x y z (fractional)
Ba: 0.0000 0.0000 0.0000
Ba: 0.5000 0.5000 0.4393
Ru: 0.5000 0.5000 0.7476
Pt: 0.0000 0.0000 0.6757

---

5.
Material: BaRuPt2
Method: DFT, GGA-PBE
State: relaxed

Output
Space-group type = F-43m, No. 216
Offset from the most stable computed form = 0.746 eV per atom

Cell: 4.8579 4.8579 4.8579 Å, 60.00 60.00 60.00°
Element x y z (fractional)
Ba: 0.0000 0.0000 0.0000
Ru: 0.2500 0.2500 0.2500
Pt: 0.5000 0.5000 0.5000
Pt: 0.7500 0.7500 0.7500

---

6.
Material: Ba2RuPt
Method: DFT, GGA-PBE
State: relaxed

Output
Space-group type = I-42d, No. 122
Final energy = -4.07 eV per atom

Cell: 9.9823 9.9823 9.9823 Å, 149.63 149.63 43.48°
Element x y z (fractional)
Ba: 0.1067 0.6250 0.9817
Ba: 0.3750 0.3567 0.4817
Ba: 0.6433 0.1250 0.0183
Ba: 0.8750 0.8933 0.5183
Ru: 0.0000 0.0000 0.0000
Ru: 0.7500 0.2500 0.5000
Pt: 0.2500 0.7500 0.5000
Pt: 0.5000 0.5000 0.0000

---

7.
Material: BaTlRu2Pt
Method: DFT, GGA-PBE
State: relaxed

Output
Space-group type = P4/mmm, No. 123
Final energy = -4.93 eV per atom

Cell: 5.0994 5.0994 5.1730 Å, 90.00 90.00 90.00°
Element x y z (fractional)
Ba: 0.0000 0.0000 0.0000
Tl: 0.5000 0.5000 0.0000
Ru: 0.0000 0.5000 0.5000
Ru: 0.5000 0.0000 0.5000
Pt: 0.5000 0.5000 0.5000

---

8.
Material: BaYRu2Pt
Method: DFT, GGA-PBE
State: relaxed

Output
Space-group type = P4/mmm, No. 123
Final energy = -5.60 eV per atom

Cell: 4.9502 4.9502 5.5092 Å, 90.00 90.00 90.00°
Element x y z (fractional)
Ba: 0.0000 0.0000 0.0000
Y: 0.5000 0.5000 0.0000
Ru: 0.0000 0.5000 0.5000
Ru: 0.5000 0.0000 0.5000
Pt: 0.0000 0.0000 0.5000

---

9.
Material: BaPtS
Method: DFT, GGA-PBE
State: relaxed

Output
Space-group type = P6_3/mmc, No. 194
Formation energy (no corrections) = -0.95 eV per atom

Cell: 5.2831 5.2831 9.0182 Å, 90.00 90.00 120.00°
Element x y z (fractional)
Ba: 0.3333 0.6667 0.2500
Ba: 0.6667 0.3333 0.7500
Pt: 0.0000 0.0000 0.0000
Pt: 0.0000 0.0000 0.5000
S: 0.0000 0.0000 0.2500
S: 0.0000 0.0000 0.7500

---

10.
Material: BaPtS
Method: DFT, GGA-PBE
State: relaxed

Output
Space-group type = P2_1/m, No. 11
Formation energy (no corrections) = -1.22 eV per atom

Cell: 4.6244 5.4380 7.3304 Å, 90.00 108.30 90.00°
Element x y z (fractional)
Ba: 0.1359 0.2500 0.2733
Ba: 0.8641 0.7500 0.7267
Pt: 0.5000 0.0000 0.0000
Pt: 0.5000 0.5000 0.0000
S: 0.3638 0.2500 0.7231
S: 0.6362 0.7500 0.2769

---

11.
Material: Ba3PtS
Method: DFT, GGA-PBE
State: relaxed

Output
Space-group type = Pm-3m, No. 221
Formation energy (no corrections) = -0.63 eV per atom
Offset from the most stable computed form = 0.000 eV per atom

Cell: 5.9400 5.9400 5.9400 Å, 90.00 90.00 90.00°
Element x y z (fractional)
Ba: 0.0000 0.0000 0.5000
Ba: 0.0000 0.5000 0.0000
Ba: 0.5000 0.0000 0.0000
Pt: 0.5000 0.5000 0.5000
S: 0.0000 0.0000 0.0000

---

12.
Material: Ba8Pt2S
Method: DFT, GGA-PBE
State: relaxed

Output
Space-group type = C2/m, No. 12
Formation energy (no corrections) = -0.51 eV per atom

Cell: 9.8394 9.8394 6.4766 Å, 90.98 90.98 70.20°
Element x y z (fractional)
Ba: 0.1074 0.6973 0.7561
Ba: 0.1837 0.1837 0.7845
Ba: 0.3027 0.8926 0.2439
Ba: 0.3977 0.3977 0.2573
Ba: 0.6023 0.6023 0.7427
Ba: 0.6973 0.1074 0.7561
Ba: 0.8163 0.8163 0.2155
Ba: 0.8926 0.3027 0.2439
Pt: 0.2147 0.2147 0.2978
Pt: 0.7853 0.7853 0.7022
S: 0.0000 0.0000 0.0000

---

| no. | DOS(E_F) (states/eV per cell) | magnetization (Bohr magnetons per cell) |
| --- | --- | --- |
| 1 | 5.4 | 1.5 |
| 2 | 2.2 | 1.9 |
| 3 | 6.9 | 4.5 |
| 4 | 4.5 | 1.3 |
| 5 | 3.5 | 1.9 |
| 6 | 5.1 | 0.0 |
| 7 | 5.9 | 3.5 |
| 8 | 6.9 | 0.0 |
| 9 | 1.2 | 0.0 |
| 10 | 0.6 | 0.0 |
| 11 | 6.2 | 0.0 |
| 12 | 11.1 | 0.0 |